DFT (GGA-PBE) results for crystalline Na2GaC at its relaxed geometry.

The structure in CIF format:
```
data_Na2GaC
_chemical_formula_sum 'Na8 Ga4 C4'
_symmetry_space_group_name_H-M 'I -4 2 d'
_symmetry_Int_Tables_number 122
_symmetry_space_group_name_Hall 'I -4 2bw'
_cell_length_a 3.781
_cell_length_b 3.781
_cell_length_c 19.238
_cell_angle_alpha 90.00
_cell_angle_beta 90.00
_cell_angle_gamma 90.00
loop_
_atom_site_label
_atom_site_fract_x
_atom_site_fract_y
_atom_site_fract_z
Na1 0.216 0.250 0.125
Ga1 0.000 0.000 0.500
C1 0.000 0.000 0.000
```

For the size of the total moment, the calculation gives 0.00 μB/atom. The formation energy from the elements comes out at 1.232 eV per atom. The value obtained for the total energy is -39.84 eV for the cell shown. The calculation puts the density of states at the Fermi level at 1.7 states/eV/f.u.

DFT (GGA-PBE) results for crystalline NaGaC at its relaxed geometry.

The structure in CIF format:
```
data_NaGaC
_chemical_formula_sum 'Na2 Ga2 C2'
_symmetry_space_group_name_H-M 'P -1'
_symmetry_Int_Tables_number 2
_symmetry_space_group_name_Hall '-P 1'
_cell_length_a 3.193
_cell_length_b 5.870
_cell_length_c 5.997
_cell_angle_alpha 101.91
_cell_angle_beta 105.26
_cell_angle_gamma 90.05
loop_
_atom_site_label
_atom_site_fract_x
_atom_site_fract_y
_atom_site_fract_z
Na1 0.179 0.232 0.357
Ga1 0.070 0.704 0.142
C1 0.478 0.095 0.956
```

For the size of the total moment, the calculation gives 0.00 μB/atom. The formation energy from the elements comes out at 0.308 eV per atom. The value obtained for the total energy is -25.29 eV for the cell shown. The calculation puts the density of states at the Fermi level at 0.9 states/eV/f.u.